The following is a DFT calculation (PBE) of an optimized crystal structure of Rb2SiPF6.

Summary:
crystal system	tetragonal
M_tot	0.100	μB per atom
formation energy without anion corrections	-2349	meV per atom

```
Rb2SiPF6
1.0
-5.5063 2.3866 3.5432
-3.8176 -0.1546 -5.8285
-5.7425 -2.5730 -0.3371
P Si Rb F
1 1 2 6
direct
0.0000 0.0000 0.0000
0.5000 0.5000 0.0000
0.7500 0.2500 0.5000
0.2500 0.7500 0.5000
0.2754 0.2754 0.4492
0.7246 0.7246 0.5508
0.3277 0.3277 0.0000
0.6723 0.6723 0.0000
0.6723 0.3277 0.0000
0.3277 0.6723 0.0000
```

***

The following is a DFT calculation (PBE) of an optimized crystal structure of Cr2Os4Ru5.

Summary:
crystal system	monoclinic
energy of formation	0.20	eV per atom
M_tot	0.000	μB per atom

```
Cr2Os4Ru5
1.0
2.6868 -0.0003 0.4782
0.3353 7.4359 -1.8788
-0.1573 -3.6496 8.6690
Cr Os Ru
2 4 5
direct
0.5782 0.3301 0.8437
0.4218 0.6699 0.1563
0.9523 0.3544 0.0955
0.3247 0.3768 0.3506
0.0477 0.6456 0.9045
0.6753 0.6232 0.6494
0.2158 0.2529 0.5684
0.1301 0.9910 0.7398
0.8699 0.0090 0.2602
0.7842 0.7471 0.4316
0.5000 0.0000 0.0000
```